Record 1
ZnSbTeI2: optimized geometry, GGA-PBE.

## Properties
The formation energy without anion corrections comes out at 1.7 eV/f.u. Its space group is No. 123. Its excess energy over the best structure of this formula in the dataset is 89 meV per atom. As for the size of the total moment: 0.0 μB/cell.

a b c (Å): 5.3469 5.3469 5.6562
angles (deg): 90.00 90.00 90.00
With the nearest neighbours (Å) after each atom.
Fractional positions:
I (0.0000, 0.5000, 0.0000)  2 Zn 2.67
I (0.5000, 0.0000, 0.0000)  2 Zn 2.67
Sb (0.0000, 0.0000, 0.5000)  2 Zn 2.83
Zn (0.0000, 0.0000, 0.0000)  4 I 2.67, 2 Sb 2.83
Te (0.5000, 0.5000, 0.5000)  4 Sb 3.78, 8 I 3.89

=====

Record 2
ZrSb2TeI: optimized geometry, GGA-PBE.

## Properties
The formation energy without anion corrections comes out at 0.3 eV/f.u. Its space group is No. 123. Its excess energy over the best structure of this formula in the dataset is 0 meV per atom. As for the size of the total moment: 0.0 μB/cell.

a b c (Å): 5.6603 5.6603 5.4794
angles (deg): 90.00 90.00 90.00
With the nearest neighbours (Å) after each atom.
Fractional positions:
I (0.5000, 0.5000, 0.5000)  8 Sb 3.94, 4 Te 4.00
Sb (0.0000, 0.5000, 0.0000)  2 Zr 2.83
Sb (0.5000, 0.0000, 0.0000)  2 Zr 2.83
Te (0.0000, 0.0000, 0.5000)  2 Zr 2.74
Zr (0.0000, 0.0000, 0.0000)  2 Te 2.74, 4 Sb 2.83